No. 1
A geometry-optimized CaGdHoSc structure. Source: Alexandria via LeMat-Bulk, functional PBE.

Cell and atoms, written as POSCAR:
```
CaGdHoSc
1.0
5.615 0.000 0.000
2.808 4.863 0.000
2.808 1.621 4.585
Sc Ca Gd Ho
1 1 1 1
direct
0.500 0.500 0.500 Sc
0.000 0.000 0.000 Ca
0.250 0.250 0.250 Gd
0.750 0.750 0.750 Ho
```

Output
Space group ... F-43m (216)
Total DFT energy (no corrections) ... -26.31 eV/cell

=====

No. 2
A geometry-optimized LiDyPuO4 structure. Source: Alexandria via LeMat-Bulk, functional PBE.

Cell and atoms, written as POSCAR:
```
LiDyPuO4
1.0
5.682 -0.080 0.000
-2.356 5.172 0.000
0.000 0.000 6.946
Li Dy Pu O
2 2 2 8
direct
0.156 0.844 0.250 Li
0.844 0.156 0.750 Li
0.500 0.500 0.500 Dy
0.500 0.500 0.000 Dy
0.840 0.160 0.250 Pu
0.160 0.840 0.750 Pu
0.248 0.252 0.750 O
0.748 0.752 0.750 O
0.736 0.264 0.989 O
0.736 0.264 0.511 O
0.264 0.736 0.011 O
0.264 0.736 0.489 O
0.752 0.748 0.250 O
0.252 0.248 0.250 O
```

Output
Space group ... Cmcm (63)
Total DFT energy (no corrections) ... -120.17 eV/cell
Energy relative to the elements, uncorrected ... -19.40 eV per formula unit

=====

No. 3
A geometry-optimized BiBIN2 structure. Source: Alexandria via LeMat-Bulk, functional PBE.

Cell and atoms, written as POSCAR:
```
BiBIN2
1.0
4.133 0.000 0.000
0.000 4.133 0.000
0.000 0.000 4.560
I B Bi N
1 1 1 2
direct
0.000 0.000 0.500 I
0.000 0.000 0.000 B
0.500 0.500 0.500 Bi
0.000 0.500 0.000 N
0.500 0.000 0.000 N
```

Output
Space group ... P4/mmm (123)
Total DFT energy (no corrections) ... -18.80 eV/cell
Energy relative to the elements, uncorrected ... 9.96 eV per formula unit